First-principles (PBE) data for an optimized crystal structure of Rb2Ti2Pt, as listed in Alexandria via LeMat-Bulk.

Lattice parameters (Å, degrees): 9.5807 9.5807 3.1528 90.00 90.00 90.00
Fractional coordinates of all 10 atoms:
Rb1 0.3767 0.8767 0.0000
Rb2 0.8767 0.6233 0.0000
Rb3 0.6233 0.1233 0.0000
Rb4 0.1233 0.3767 0.0000
Pt1 0.0000 0.0000 0.0000
Pt2 0.5000 0.5000 0.0000
Ti1 0.1875 0.6875 0.5000
Ti2 0.6875 0.8125 0.5000
Ti3 0.8125 0.3125 0.5000
Ti4 0.3125 0.1875 0.5000

Results
relative energy among the computed polymorphs	1001.2	meV per atom
space-group type	P4/mbm
ΔE_f	1.7461	eV per atom
spin magnetization	5.9	μB per formula unit

---

First-principles (PBE) data for an optimized crystal structure of V2AsI, as listed in Alexandria via LeMat-Bulk.

Lattice parameters (Å, degrees): 4.5657 4.5657 4.5657 60.00 60.00 60.00
Fractional coordinates of all 4 atoms:
I1 0.5000 0.5000 0.5000
As1 0.0000 0.0000 0.0000
V1 0.2500 0.2500 0.2500
V2 0.7500 0.7500 0.7500

Results
space-group type	Fm-3m
spin magnetization	2.2	μB per formula unit
raw formation energy	0.327	eV/atom

---

First-principles (PBE) data for an optimized crystal structure of NbAgS4, as listed in Alexandria via LeMat-Bulk.

Lattice parameters (Å, degrees): 6.3664 7.3209 7.4750 120.96 91.79 89.07
Fractional coordinates of all 12 atoms:
Nb1 0.7284 0.0014 0.0177
Nb2 0.2707 0.0011 0.0172
Ag1 0.5061 0.4280 0.7002
Ag2 0.5033 0.5676 0.2655
S1 0.9973 0.3058 0.1144
S2 0.0090 0.9223 0.2293
S3 0.4916 0.8317 0.6925
S4 0.5054 0.2597 0.3230
S5 0.0014 0.7021 0.9159
S6 0.4909 0.1665 0.8573
S7 0.5055 0.7405 0.0604
S8 0.9903 0.0734 0.8066

Results
space-group type	P1
spin magnetization	0.0	μB per formula unit
raw formation energy	-0.495	eV/atom

---

First-principles (PBE) data for an optimized crystal structure of La2ZnAu, as listed in Alexandria via LeMat-Bulk.

Lattice parameters (Å, degrees): 5.1288 5.1288 5.1288 60.00 60.00 60.00
Fractional coordinates of all 4 atoms:
Au1 0.5000 0.5000 0.5000
La1 0.0000 0.0000 0.0000
La2 0.2500 0.2500 0.2500
Zn1 0.7500 0.7500 0.7500

Results
space-group type	F-43m
ΔE_f	-0.2855	eV per atom
spin magnetization	0.0	μB per formula unit

---

First-principles (PBE) data for an optimized crystal structure of HoHfTc2, as listed in Alexandria via LeMat-Bulk.

Lattice parameters (Å, degrees): 3.3216 3.3216 6.7533 90.00 90.00 90.00
Fractional coordinates of all 4 atoms:
Hf1 0.5000 0.5000 0.0000
Ho1 0.5000 0.5000 0.5000
Tc1 0.0000 0.0000 0.7696
Tc2 0.0000 0.0000 0.2304

Results
relative energy among the computed polymorphs	0.0	meV per atom
space-group type	P4/mmm
ΔE_f	-0.1448	eV per atom
spin magnetization	0.0	μB per formula unit

---

First-principles (PBE) data for an optimized crystal structure of RbHf2PaO8, as listed in Alexandria via LeMat-Bulk.

Lattice parameters (Å, degrees): 5.1265 5.1280 7.3973 87.48 87.47 87.01
Fractional coordinates of all 12 atoms:
Rb1 0.0000 0.0000 0.5000
Hf1 0.4986 0.4986 0.7880
Hf2 0.5014 0.5014 0.2120
Pa1 0.0000 0.0000 0.0000
O1 0.1895 0.7630 0.2031
O2 0.6825 0.6825 0.9965
O3 0.7631 0.1896 0.2031
O4 0.8105 0.2370 0.7969
O5 0.3175 0.3175 0.0035
O6 0.2369 0.8104 0.7969
O7 0.6024 0.6023 0.4865
O8 0.3976 0.3977 0.5135

Results
space-group type	C2/m
spin magnetization	0.1	μB per formula unit
raw formation energy	-2.839	eV/atom

---

Which value of spin magnetization does entry 1 give?
5.9 μB per formula unit